Material: KAc2NiO5
Method: DFT, PBE+U
State: relaxed

* size of the total moment: 1.00 μB/f.u.
* volume: 296.4 Å³/cell
* final energy: -6.326 eV per atom

Lattice parameters (Å, degrees): 5.7721 7.1656 7.1656 90.00 90.00 90.00
Closest atoms and distances in Å follow each position.
Positions (direct):
O  0.2339  0.3746  0.1254  1 Ni 1.85
K  0.0000  0.5000  0.5000  10 O 2.89-3.14
O  0.7661  0.1254  0.6254  1 Ni 1.85
Ac  0.5000  0.8181  0.6819  8 O 2.48-2.71
Ac  0.5000  0.1819  0.3181  8 O 2.48-2.71
Ac  0.5000  0.3181  0.8181  8 O 2.48-2.71
O  0.5000  0.5000  0.5000  4 Ac 2.63, 2 K 2.89
Ac  0.5000  0.6819  0.1819  8 O 2.48-2.71
O  0.5000  0.0000  0.0000  4 Ac 2.63, 2 K 2.89
O  0.2339  0.1254  0.6254  1 Ni 1.85
O  0.7661  0.6254  0.8746  1 Ni 1.85
O  0.2339  0.8746  0.3746  1 Ni 1.85
Ni  0.0000  0.5000  0.0000  4 O 1.85
O  0.7661  0.3746  0.1254  1 Ni 1.85
Ni  0.0000  0.0000  0.5000  4 O 1.85
O  0.7661  0.8746  0.3746  1 Ni 1.85
K  0.0000  0.0000  0.0000  10 O 2.89-3.14
O  0.2339  0.6254  0.8746  1 Ni 1.85